The following is a PBE calculation of KBeZn2 after structural relaxation, from Alexandria.

abc: 6.2031 6.2031 6.2031
angles: 155.22 124.94 61.28
Element x y z (fractional)
Zn  0.0462  0.0462  0.0000
Be  0.4482  0.4482  0.0000
K  0.7386  0.2386  0.5000
Zn  0.2669  0.7669  0.5000

Output
* DFT total energy: -1.286 eV per atom
* formation energy: 0.557 eV per atom
* crystal system: orthorhombic

***

The following is a PBE calculation of CaTi2O6 after structural relaxation, from Alexandria.

abc: 5.1832 5.1832 5.0303
angles: 90.00 90.00 120.00
Last column: magnetic moment on the atom in μB.
Element x y z (fractional)
O  0.3615  0.3615  0.7101  0.30
O  0.0000  0.3615  0.2899  0.30
O  0.6385  0.0000  0.7101  0.30
O  0.0000  0.6385  0.7101  0.30
Ti  0.6667  0.3333  0.5000  -0.09
O  0.6385  0.6385  0.2899  0.30
Ti  0.3333  0.6667  0.5000  -0.09
O  0.3615  0.0000  0.2899  0.30
Ca  0.0000  0.0000  0.0000  0.00

Output
* formation energy from raw total energies: -2.50 eV/atom
* DFT total energy: -7.785 eV per atom
* crystal system: trigonal

***

The following is a PBE calculation of Sc3Ni8Au after structural relaxation, from Alexandria.

abc: 4.8592 4.8592 8.4351
angles: 73.26 73.26 60.00
Element x y z (fractional)
Ni  0.4362  0.9368  0.6902
Sc  0.3763  0.3763  0.8711
Ni  0.9421  0.4375  0.1829
Ni  0.9368  0.4362  0.6902
Ni  0.9368  0.9368  0.6902
Au  0.8726  0.8726  0.3822
Sc  0.5063  0.5063  0.4810
Sc  0.9926  0.9926  0.0223
Ni  0.4375  0.4375  0.1829
Ni  0.6879  0.6879  0.9363
Ni  0.1875  0.1875  0.4376
Ni  0.4375  0.9421  0.1829

Output
* DFT total energy: -6.195 eV per atom
* formation energy: -0.485 eV per atom
* crystal system: trigonal

***

The following is a PBE calculation of Cs2LaBePt after structural relaxation, from Alexandria.

abc: 5.5955 5.9722 5.5955
angles: 90.00 90.00 90.00
Element x y z (fractional)
Cs  0.0000  0.0000  0.5000
Be  0.0000  0.0000  0.0000
Cs  0.5000  0.0000  0.0000
Pt  0.5000  0.5000  0.5000
La  0.0000  0.5000  0.0000

Output
* DFT total energy: -2.352 eV per atom
* formation energy: 0.929 eV per atom
* crystal system: tetragonal

***

What is the formula in the third record? Sc3Ni8Au

***

What is the DFT total energy in the fourth record? -2.352 eV per atom